1.
Here is an optimized crystal structure of As3RuC from the Alexandria database. Energies are from PBE-GGA.

Cell: 4.7443 4.7443 4.7443 Å, 90.00 90.00 90.00°
Last column: nearest neighbours and their distance in Å.
Atoms (fractional coordinates):
As 0.0000 0.0000 0.5000  2 Ru 2.37
As 0.0000 0.5000 0.0000  2 Ru 2.37
As 0.5000 0.0000 0.0000  2 Ru 2.37
Ru 0.0000 0.0000 0.0000  6 As 2.37
C 0.5000 0.5000 0.5000  12 As 3.35

Output
The value obtained for the energy above the most stable polymorph in this dataset is 585.7 meV/atom. As for the volume: 106.8 Å³/f.u. As for the space group: Pm-3m (221).

2.
Here is an optimized crystal structure of ZnCuIr2 from the Alexandria database. Energies are from PBE-GGA.

Cell: 3.0075 3.0075 6.0324 Å, 90.00 90.00 90.00°
Last column: nearest neighbours and their distance in Å.
Atoms (fractional coordinates):
Zn 0.0000 0.0000 0.0000  8 Ir 2.63
Cu 0.0000 0.0000 0.5000  8 Ir 2.59
Ir 0.5000 0.5000 0.2562  4 Cu 2.59, 4 Zn 2.63
Ir 0.5000 0.5000 0.7438  4 Cu 2.59, 4 Zn 2.63

Output
Its total energy is -0.416 Ry per atom. As for the volume: 54.6 Å³/f.u. As for the space group: P4/mmm (123).